No. 1
A geometry-optimized YTcAg2 structure, computed with GGA-PBE.

Summary:
As for the energy: -5.0714 eV per atom. The total magnetization is 0.779 μB per cell. The energy of formation from the pure elements is 561.7 meV/atom.

abc: 10.164 10.164 10.164
angles: 16.85 16.85 16.85
Last column: magnetic moment on the atom in μB.
Fractional coordinates of all 4 atoms:
Tc 0.250 0.250 0.250  0.59
Y 0.750 0.750 0.750  0.05
Ag 0.506 0.506 0.506  0.02
Ag 0.994 0.994 0.994  0.02



No. 2
A geometry-optimized YTcAg structure, computed with GGA-PBE.

Summary:
As for the energy: -5.4899 eV per atom. The total magnetization is 1.954 μB per cell. The energy of formation from the pure elements is 1070.5 meV/atom.

abc: 4.690 4.690 4.690
angles: 60.00 60.00 60.00
Last column: magnetic moment on the atom in μB.
Fractional coordinates of all 3 atoms:
Tc 0.500 0.500 0.500  1.69
Ag 0.000 0.000 0.000  0.01
Y 0.750 0.750 0.750  0.04